# Hg2ICl (PBE, optimized geometry)
# E_form (uncorrected) (kJ/mol of atoms): -7
# VASP energy (eV per atom): -1.075
data_Hg2ICl
_chemical_formula_sum 'Hg8 I4 Cl4'
_cell_length_a 6.978
_cell_length_b 6.978
_cell_length_c 13.768
_cell_angle_alpha 90.00
_cell_angle_beta 90.00
_cell_angle_gamma 90.00
_space_group_name_H-M_alt 'I -4 2 d'
_space_group_IT_number 122
_space_group_name_Hall 'I -4 2bw'
loop_
_atom_site_label
_atom_site_fract_x
_atom_site_fract_y
_atom_site_fract_z
Hg1 0.220 0.250 0.125
I1 0.000 0.000 0.500
Cl1 0.000 0.000 0.000